(1)
# CaMgTl3In

CaMgTl3In after structural relaxation (PBE, Alexandria via LeMat-Bulk).

Properties
- DOS at the Fermi energy: 5.3 states/eV/cell
- Size of the total moment: 0.00 μB per formula unit
- SG: Cmcm
- VASP energy: -2.393 eV/atom
- Formation energy: -0.154 eV per atom

Unit cell a=4.6265 b=7.5805 c=9.9466 alpha=90.00 beta=90.00 gamma=107.77
Last column: nearest neighbours and their distance in Å.
Fractional coordinates of all 12 atoms:
Mg1 0.0000 0.0000 0.5000  6 Tl 3.22-3.28, 4 In 3.40
Mg2 0.0000 0.0000 0.0000  6 Tl 3.22-3.28, 4 In 3.40
Ca1 0.1815 0.3629 0.2500  8 Tl 3.38-3.44, 2 In 3.43, 2 Mg 3.61
Ca2 0.8185 0.6371 0.7500  8 Tl 3.38-3.44, 2 In 3.43, 2 Mg 3.61
In1 0.5064 0.0128 0.2500  6 Tl 3.21-3.43, 4 Mg 3.40, 2 Ca 3.43
In2 0.4936 0.9872 0.7500  6 Tl 3.21-3.43, 4 Mg 3.40, 2 Ca 3.43
Tl1 0.8520 0.7041 0.2500  2 In 3.21, 2 Mg 3.28, 2 Ca 3.38, 4 Tl 3.42
Tl2 0.3447 0.6894 0.9976  2 Mg 3.22, 2 In 3.27-3.43, 3 Ca 3.40-3.44, 4 Tl 3.42-3.58
Tl3 0.6553 0.3106 0.0024  2 Mg 3.22, 2 In 3.27-3.43, 3 Ca 3.40-3.44, 4 Tl 3.42-3.58
Tl4 0.6553 0.3106 0.4976  2 Mg 3.22, 2 In 3.27-3.43, 3 Ca 3.40-3.44, 4 Tl 3.42-3.58
Tl5 0.1480 0.2959 0.7500  2 In 3.21, 2 Mg 3.28, 2 Ca 3.38, 4 Tl 3.42
Tl6 0.3447 0.6894 0.5024  2 Mg 3.22, 2 In 3.27-3.43, 3 Ca 3.40-3.44, 4 Tl 3.42-3.58

***

(2)
# Sr2LiHoSe4

Sr2LiHoSe4 after structural relaxation (PBE, Alexandria via LeMat-Bulk).

Properties
- E_form (uncorrected): -14.63 eV per formula unit
- Size of the total moment: 0.00 μB per formula unit
- SG: P2/m
- VASP energy: -4.802 eV/atom

Unit cell a=4.2658 b=7.3345 c=7.3304 alpha=108.80 beta=90.00 gamma=90.00
Last column: nearest neighbours and their distance in Å.
Fractional coordinates of all 8 atoms:
Sr1 0.0000 0.5000 0.5000  6 Se 3.11-3.13
Sr2 0.5000 0.0000 0.5000  6 Se 3.08-3.09
Se1 0.5000 0.2407 0.2245  1 Li 2.89, 2 Ho 2.92, 3 Sr 3.08-3.13
Se2 0.5000 0.7593 0.7755  1 Li 2.89, 2 Ho 2.92, 3 Sr 3.08-3.13
Se3 0.0000 0.2507 0.7720  1 Ho 2.86, 2 Li 2.95, 3 Sr 3.09-3.11
Se4 0.0000 0.7493 0.2280  1 Ho 2.86, 2 Li 2.95, 3 Sr 3.09-3.11
Ho1 0.0000 0.0000 0.0000  6 Se 2.86-2.92
Li1 0.5000 0.5000 0.0000  6 Se 2.89-2.95

***

(3)
# Tb7Zn2In2

Tb7Zn2In2 after structural relaxation (PBE, Alexandria via LeMat-Bulk).

Properties
- DOS at the Fermi energy: 13.2 states/eV/cell
- Size of the total moment: 0.00 μB per formula unit
- SG: Cmmm
- VASP energy: -3.730 eV/atom
- Formation energy: -0.054 eV per atom

Unit cell a=6.7955 b=7.5035 c=6.7955 alpha=90.00 beta=110.08 gamma=90.00
Last column: nearest neighbours and their distance in Å.
Fractional coordinates of all 11 atoms:
Tb1 0.0000 0.2752 0.5000  2 Zn 2.87
Tb2 0.0000 0.0000 0.0000  2 Zn 3.20
Tb3 0.5000 0.7599 0.5000  2 Zn 2.98, 2 In 3.16
Tb4 0.5000 0.7248 0.0000  2 Zn 2.87
Tb5 0.5000 0.2401 0.5000  2 Zn 2.98, 2 In 3.16
Tb6 0.5000 0.2752 0.0000  2 Zn 2.87
Tb7 0.0000 0.7248 0.5000  2 Zn 2.87
In1 0.8199 0.5000 0.8199  1 In 2.81
In2 0.1801 0.5000 0.1801  1 In 2.81
Zn1 0.7128 0.0000 0.2872  7 Tb 2.87-3.20
Zn2 0.2872 0.0000 0.7128  7 Tb 2.87-3.20

***

(4)
# CrH2Br2

CrH2Br2 after structural relaxation (PBE, Alexandria via LeMat-Bulk).

Properties
- DOS at the Fermi energy: 1.9 states/eV/cell
- Size of the total moment: 4.00 μB per formula unit
- SG: C2/c
- VASP energy: -4.236 eV/atom

Unit cell a=4.5594 b=4.5593 c=14.1376 alpha=112.56 beta=112.56 gamma=89.83
Last column: nearest neighbours and their distance in Å.
Fractional coordinates of all 10 atoms:
Cr1 0.8669 0.1331 0.5000  4 Br 2.49
Cr2 0.3831 0.6169 0.0000  4 Br 2.49
H1 0.1177 0.7877 0.2453  1 H 0.75
H2 0.2123 0.8823 0.7547  1 H 0.75
H3 0.1323 0.9623 0.2547  1 H 0.75
H4 0.0377 0.8677 0.7453  1 H 0.75
Br1 0.4663 0.2298 0.5839  2 Cr 2.49
Br2 0.7702 0.5337 0.4161  2 Cr 2.49
Br3 0.7837 0.5202 0.9161  2 Cr 2.49
Br4 0.4798 0.2163 0.0839  2 Cr 2.49

***

(5)
# LaCr2C2

LaCr2C2 after structural relaxation (PBE, Alexandria via LeMat-Bulk).

Properties
- DOS at the Fermi energy: 9.6 states/eV/cell
- Distance to the lowest polymorph of the same formula: 18 meV/atom
- Size of the total moment: 1.34 μB per formula unit
- SG: Fddd
- VASP energy: -8.629 eV/atom
- Formation energy: -0.105 eV per atom

Unit cell a=5.4454 b=5.4454 c=5.6105 alpha=110.15 beta=110.15 gamma=106.87
Last column: nearest neighbours and their distance in Å.
Fractional coordinates of all 10 atoms:
Cr1 0.4899 0.7399 0.9799  4 C 2.00-2.07
Cr2 0.5101 0.2601 0.0201  4 C 2.00-2.07
Cr3 0.2399 0.9899 0.4799  4 C 2.00-2.07
Cr4 0.7601 0.0101 0.5201  4 C 2.00-2.07
C1 0.4355 0.0645 0.2500  4 Cr 2.00-2.07
C2 0.1856 0.3144 0.7500  4 Cr 2.00-2.07
C3 0.5645 0.9355 0.7500  4 Cr 2.00-2.07
C4 0.8144 0.6856 0.2500  4 Cr 2.00-2.07
La1 0.1250 0.3750 0.2500  6 C 2.72-2.85, 4 Cr 2.92
La2 0.8750 0.6250 0.7500  6 C 2.72-2.85, 4 Cr 2.92

***

(6)
# YUAgSe4

YUAgSe4 after structural relaxation (PBE, Alexandria via LeMat-Bulk).

Properties
- E_form (uncorrected): -8.28 eV per formula unit
- DOS at the Fermi energy: 9.3 states/eV/cell
- Size of the total moment: 2.00 μB per formula unit
- SG: Imma
- VASP energy: -6.117 eV/atom

Unit cell a=8.4118 b=8.3205 c=8.2751 alpha=119.82 beta=90.00 gamma=120.36
Last column: nearest neighbours and their distance in Å.
Fractional coordinates of all 14 atoms:
Ag1 0.1201 0.2402 0.8701  4 Se 2.69-2.71
Ag2 0.8799 0.7598 0.1299  4 Se 2.69-2.71
Se1 0.2545 0.5091 0.7380  1 Ag 2.71, 2 U 2.86, 1 Y 2.88
Se2 0.7455 0.4909 0.7289  1 Ag 2.71, 2 U 2.86, 1 Y 2.88
Se3 0.2728 0.0185 0.2593  1 Ag 2.69, 1 U 2.83, 2 Y 2.87
Se4 0.7457 0.0185 0.2593  1 Ag 2.69, 1 U 2.83, 2 Y 2.87
Se5 0.7455 0.4909 0.2620  1 Ag 2.71, 2 U 2.86, 1 Y 2.88
Se6 0.2543 0.9815 0.7407  1 Ag 2.69, 1 U 2.83, 2 Y 2.87
Se7 0.2545 0.5091 0.2711  1 Ag 2.71, 2 U 2.86, 1 Y 2.88
Se8 0.7272 0.9815 0.7407  1 Ag 2.69, 1 U 2.83, 2 Y 2.87
Y1 0.5000 0.0000 0.0000  6 Se 2.87-2.88
Y2 0.5000 0.0000 0.5000  6 Se 2.87-2.88
U1 0.0000 0.5000 0.5000  6 Se 2.83-2.86
U2 0.5000 0.5000 0.5000  6 Se 2.83-2.86

***

Looking at calculated density for the records above, in order, we have 7.92; 5.07; 7.52; 2.87; 6.82; 6.10 g/cm³.